Ga8Pd2Pt3: optimized geometry, PBE-GGA.

Summary:
E (eV/atom): -4.581
Total magnetization (μB/f.u.): 0.00
Formation energy from the elements (eV per atom): -0.525
Theoretical density (g/cm3): 10.075

Cell: 4.3404 8.5931 7.3634 Å, 125.54 90.00 90.00°
With the nearest neighbours (Å) after each atom.
Fractional coordinates of all 13 atoms:
Ga  0.5000  0.8658  0.2594  2 Pd 2.54-2.68, 3 Pt 2.66-2.75
Ga  0.5000  0.1342  0.7406  2 Pd 2.54-2.68, 3 Pt 2.66-2.75
Ga  0.0000  0.3758  0.7491  2 Pt 2.62-2.64, 2 Pd 2.67, 1 Ga 2.88
Ga  0.5000  0.3906  0.2524  2 Pd 2.53-2.66, 3 Pt 2.66-2.73
Ga  0.0000  0.1347  0.2689  2 Pd 2.54, 4 Pt 2.67-2.70
Ga  0.0000  0.6242  0.2509  2 Pt 2.62-2.64, 2 Pd 2.67, 1 Ga 2.88
Ga  0.5000  0.6094  0.7476  2 Pd 2.53-2.66, 3 Pt 2.66-2.73
Ga  0.0000  0.8653  0.7311  2 Pd 2.54, 4 Pt 2.67-2.70
Pd  0.5000  0.7518  0.5093  8 Ga 2.53-2.68
Pd  0.5000  0.2482  0.4907  8 Ga 2.53-2.68
Pt  0.5000  0.0000  0.0000  8 Ga 2.70-2.75, 2 Pd 2.94
Pt  0.0000  0.2464  0.9956  8 Ga 2.62-2.69
Pt  0.0000  0.7536  0.0044  8 Ga 2.62-2.69